Record 1
DyGaGe2O7: relaxed, PBE-GGA.

Structure (extended XYZ):
```
44
Lattice="6.6216 0.0000 0.0000 0.0000 7.2454 0.0029 0.0000 6.0488 11.3432" Properties=species:S:1:pos:R:3 pbc="T T T"
Ge 2.2633 7.8319 10.8742
O 4.0546 3.7486 3.1955
O 3.6799 7.3589 9.9382
O 5.3589 9.6087 9.2170
Ge 5.5741 8.4867 6.1435
O 4.1034 4.6946 7.7788
O 6.2525 4.3345 4.2666
Ge 2.7259 2.7952 2.5418
Ga 2.6610 6.7829 3.0619
O 2.0481 6.7099 7.8007
Ga 5.9718 3.4869 2.6126
O 2.2726 6.0780 4.8215
Ga 3.9605 6.5113 8.2842
O 0.3691 8.9597 7.0795
Dy 5.6698 7.7391 11.0259
Ge 4.3583 5.4623 0.4719
Ge 0.5849 5.8196 8.2134
Ga 0.6498 9.8073 8.7335
Ge 1.0475 4.8075 5.2026
Ge 6.0367 7.4746 3.1326
O 3.3083 11.0661 10.4309
O 0.0025 8.0417 4.7593
O 1.1202 6.5567 11.1043
O 4.3489 7.2162 6.5246
Dy 2.3590 8.5795 5.9918
Dy 0.9518 5.5551 0.3202
O 1.2627 3.6855 2.1291
O 4.5735 6.5843 3.5454
Ge 3.8956 10.4990 8.8042
O 0.7926 11.6240 9.2389
O 4.4309 9.7619 5.9134
O 5.8777 6.7730 8.8671
O 5.5834 4.1918 0.8530
O 2.5182 8.5996 3.5673
O 5.8290 1.6702 2.1072
O 6.6191 5.2525 6.5867
O 2.5670 9.5456 8.1506
O 3.3133 2.2281 0.9151
O 5.5014 6.7376 0.2418
O 2.9417 5.9353 1.4079
O 2.1906 3.5323 5.4327
O 1.0381 9.1024 10.4931
Dy 4.2626 4.7147 5.3543
O 0.7438 6.5212 2.4790
```

Calculated values
The calculation puts the calculated volume at 12.4 Å³/atom. Its energy relative to the elements, uncorrected is -2.162 eV/atom.

Record 2
TaNb3W4: relaxed, PBE-GGA.

Structure (extended XYZ):
```
16
Lattice="5.5279 0.0000 0.0000 0.0000 9.9526 0.0000 0.0000 0.0000 5.2705" Properties=species:S:1:pos:R:3 pbc="T T T"
W 3.1220 6.4475 3.9499
Nb 0.3599 6.2420 3.9524
W 0.3580 3.5050 1.3146
W 3.9547 1.2012 2.6352
Nb 3.9686 8.7233 0.0000
Nb 3.1238 3.7106 1.3172
Nb 1.2047 1.2292 2.6352
W 1.1908 8.7514 0.0000
W 3.1220 6.4475 1.3206
Nb 3.1238 3.7106 3.9533
Ta 5.0314 1.2361 0.0000
W 2.2775 1.2142 0.0000
Ta 2.2674 8.7164 2.6352
Nb 0.3599 6.2420 1.3181
W 5.0415 8.7383 2.6352
W 0.3580 3.5050 3.9558
```

Calculated values
The calculation puts the calculated volume at 18.1 Å³/atom. The value obtained for the formation energy is 0.53 eV per atom. The excess energy over the best structure of this formula in the dataset comes out at 598.0 meV per atom.

Record 3
BaSr4Rh: relaxed, PBE-GGA.

Structure (extended XYZ):
```
12
Lattice="-2.9255 -5.5828 3.9002 1.8269 3.9946 7.0851 -8.3934 4.0681 6.5726" Properties=species:S:1:pos:R:3 pbc="T T T"
Sr -4.8769 2.6803 6.1364
Sr -5.0782 -1.3370 7.2777
Sr -7.2555 2.3918 13.2847
Sr -2.2365 0.0882 4.2732
Ba 1.1319 2.5414 5.6313
Sr -4.4138 3.8170 10.2801
Rh -4.1967 2.0341 3.2863
Sr -7.6626 1.3602 9.0676
Rh -4.7460 1.2400 8.7789
Sr -4.6151 -0.2003 11.4215
Ba -10.6239 -0.0614 11.9265
Sr -1.8294 1.1198 8.4902
```

Calculated values
The calculation puts the calculated volume at 47.2 Å³/atom. The value obtained for the formation energy is -0.14 eV per atom. The excess energy over the best structure of this formula in the dataset comes out at 0.0 meV per atom.

Record 4
ErTl2: relaxed, PBE-GGA.

Structure (extended XYZ):
```
3
Lattice="3.6932 -0.1883 -0.0097 -0.1883 3.6932 -0.0097 -1.7445 -1.7445 6.1302" Properties=species:S:1:pos:R:3 pbc="T T T"
Er 1.7525 1.7525 -0.0097
Tl 0.0029 0.0029 2.0486
Tl 1.7576 1.7576 4.0621
```

Calculated values
The calculation puts the calculated volume at 27.8 Å³/atom. The value obtained for the formation energy is -0.10 eV per atom.

Record 5
RbCd3Bi2: relaxed, PBE-GGA.

Structure (extended XYZ):
```
12
Lattice="-4.8817 0.1741 0.4262 2.0955 -9.8723 -0.1720 0.8765 3.8605 8.4630" Properties=species:S:1:pos:R:3 pbc="T T T"
Cd 0.2678 -4.0944 4.7396
Bi -2.3721 -4.5456 2.8932
Cd 0.3218 0.7584 3.3757
Cd -1.9310 0.7885 5.7662
Bi -2.2824 0.5247 1.8495
Cd -2.1775 -1.7434 3.9775
Cd -2.2314 -6.5962 5.3415
Rb -0.0495 -2.5796 0.4860
Rb -1.8601 -3.2582 8.2311
Bi 0.3727 -6.3626 6.8677
Cd 0.0214 -6.6263 2.9509
Bi 0.4624 -1.2922 5.8240
```

Calculated values
The calculation puts the calculated volume at 34.1 Å³/atom. The value obtained for the formation energy is -0.14 eV per atom.

Record 6
Tb5ErTh2: relaxed, PBE-GGA.

Structure (extended XYZ):
```
8
Lattice="-2.6736 -2.3805 -0.0399 5.8282 -6.4626 -4.9647 2.0435 2.9234 8.7031" Properties=species:S:1:pos:R:3 pbc="T T T"
Tb 0.6999 -3.4877 0.3189
Th 4.0567 -4.5769 0.6105
Tb 3.6209 -6.7268 -2.1693
Er 0.0000 0.0000 0.0000
Tb 1.5772 0.8070 5.8678
Tb 4.4982 -2.4320 3.3796
Th 1.1414 -1.3429 3.0880
Tb 2.9141 -3.2313 -2.4824
```

Calculated values
The calculation puts the calculated volume at 31.9 Å³/atom. The value obtained for the formation energy is 0.04 eV per atom. The excess energy over the best structure of this formula in the dataset comes out at 0.0 meV per atom.

Which value of calculated volume does entry 5 give?
34.1 Å³/atom

Repeat the sixth record exactly.
Tb5ErTh2: relaxed, PBE-GGA.

Structure (extended XYZ):
```
8
Lattice="-2.6736 -2.3805 -0.0399 5.8282 -6.4626 -4.9647 2.0435 2.9234 8.7031" Properties=species:S:1:pos:R:3 pbc="T T T"
Tb 0.6999 -3.4877 0.3189
Th 4.0567 -4.5769 0.6105
Tb 3.6209 -6.7268 -2.1693
Er 0.0000 0.0000 0.0000
Tb 1.5772 0.8070 5.8678
Tb 4.4982 -2.4320 3.3796
Th 1.1414 -1.3429 3.0880
Tb 2.9141 -3.2313 -2.4824
```

Calculated values
The calculation puts the calculated volume at 31.9 Å³/atom. The value obtained for the formation energy is 0.04 eV per atom. The excess energy over the best structure of this formula in the dataset comes out at 0.0 meV per atom.

calculated volume of number 6 (Tb5ErTh2)?
31.9 Å³/atom

Which formula does entry 2 have?
TaNb3W4